The following is a DFT calculation (GGA+U) of a relaxed FeSeI2O crystal.

The structure in POSCAR format:
```
FeSeI2O
1.0
5.916 0.000 0.000
0.000 5.916 0.000
0.000 0.000 3.855
Fe Se I O
1 1 2 1
Direct
0.000 0.000 0.000
0.500 0.500 0.500
0.000 0.500 0.500
0.500 0.000 0.500
0.500 0.500 0.000
```

Energy relative to the lowest polymorph listed for this composition: 1.28 eV per formula unit
ρ: 5.0 g/cm³
Density of states at the Fermi level: 2.278 states/eV/f.u.